A plane-wave DFT calculation with PBE was carried out for a relaxed RbMgCoTe crystal.

a b c (Å): 7.4116 7.4116 7.4116
angles (deg): 90.00 90.00 90.00
Atoms (fractional coordinates):
Rb 0.0000 0.0000 0.0000
Rb 0.0000 0.5000 0.5000
Rb 0.5000 0.0000 0.5000
Rb 0.5000 0.5000 0.0000
Mg 0.2500 0.2500 0.7500
Mg 0.2500 0.7500 0.2500
Mg 0.7500 0.2500 0.2500
Mg 0.7500 0.7500 0.7500
Co 0.2500 0.2500 0.2500
Co 0.2500 0.7500 0.7500
Co 0.7500 0.2500 0.7500
Co 0.7500 0.7500 0.2500
Te 0.0000 0.0000 0.5000
Te 0.0000 0.5000 0.0000
Te 0.5000 0.0000 0.0000
Te 0.5000 0.5000 0.5000

Computed properties:
As for the raw total energy: -0.097 hartree per atom. As for the total magnetization: 1.7 μB per formula unit. Its space group is F-43m, No. 216. The volume is 25.446 Å³ per atom. The offset from the most stable computed form comes out at 92 meV/atom. For the mass density, the calculation gives 4.83 Mg/m³.